Entry 1:
Crystalline Ta2HgSb at its relaxed geometry. Source: the Alexandria database, functional GGA-PBEsol.

Results
Energy above the lowest structure with this stoichiometry, kcal/mol of atoms: 0.376

abc: 3.2541 3.2541 7.1220
angles: 90.00 90.00 90.00
Closest atoms and distances in Å follow each position.
Atoms (fractional coordinates):
Ta 0.0000 0.0000 0.2695  4 Sb 2.83, 4 Hg 3.00
Sb 0.5000 0.5000 0.5000  8 Ta 2.83
Hg 0.5000 0.5000 0.0000  8 Ta 3.00, 4 Hg 3.25
Ta 0.0000 0.0000 0.7305  4 Sb 2.83, 4 Hg 3.00

Entry 2:
Crystalline TaHgSb2 at its relaxed geometry. Source: the Alexandria database, functional GGA-PBEsol.

abc: 3.5778 4.8816 4.8816
angles: 90.00 90.00 90.00
Closest atoms and distances in Å follow each position.
Atoms (fractional coordinates):
Sb 0.0000 0.0000 0.5000  4 Hg 3.03, 4 Ta 3.03
Hg 0.5000 0.0000 0.0000  8 Sb 3.03
Sb 0.0000 0.5000 0.0000  4 Hg 3.03, 4 Ta 3.03
Ta 0.5000 0.5000 0.5000  8 Sb 3.03

Number 1: formation energy without anion corrections 0.28 eV/atom. Number 2: formation energy without anion corrections 0.40 eV/atom.